No. 1
A plane-wave DFT calculation with GGA-PBE was carried out for an optimized crystal structure of GaMoBr.

POSCAR file:
```
GaMoBr
1.0
3.5092 0.0000 0.0000
0.0000 3.8065 0.0000
0.0000 0.0000 10.2010
Ga Mo Br
2 2 2
direct
0.0000 0.0000 0.0000
0.0000 0.5000 0.1972
0.5000 0.0000 0.1977
0.5000 0.5000 0.9570
0.0000 0.5000 0.7598
0.5000 0.0000 0.4379
```

Summary:
The crystal system is orthorhombic. For the density of states at the Fermi level, the calculation gives 2.0 states/eV per cell. As for the total magnetic moment: 0.00 Bohr magnetons per cell. The calculation puts the energy above the most stable polymorph in this dataset at 60.6 meV/atom.

No. 2
A plane-wave DFT calculation with GGA-PBE was carried out for an optimized crystal structure of NpP2PbS8.

POSCAR file:
```
NpP2PbS8
1.0
3.0003 1.7322 8.9165
-3.0003 1.7322 8.9165
0.0000 -3.4645 8.9165
Np P Pb S
1 2 1 8
direct
0.0000 0.0000 0.0000
0.2456 0.2456 0.2456
0.7544 0.7544 0.7544
0.5000 0.5000 0.5000
0.0706 0.6999 0.4173
0.1709 0.1709 0.1709
0.3001 0.5827 0.9294
0.4173 0.0706 0.6999
0.5827 0.9294 0.3001
0.6999 0.4173 0.0706
0.8291 0.8291 0.8291
0.9294 0.3001 0.5827
```

Summary:
The crystal system is trigonal. For the density of states at the Fermi level, the calculation gives 4.6 states/eV per cell. As for the total magnetic moment: 3.00 Bohr magnetons per cell. The calculation puts the total energy at -5.46 eV/atom.

No. 3
A plane-wave DFT calculation with GGA-PBE was carried out for an optimized crystal structure of Zn2Ga4Pt.

POSCAR file:
```
Zn2Ga4Pt
1.0
-3.0848 3.0848 3.3822
3.0848 -3.0848 3.3822
3.0848 3.0848 -3.3822
Zn Ga Pt
2 4 1
direct
0.2500 0.7500 0.5000
0.7500 0.2500 0.5000
0.2110 0.7846 0.0000
0.2154 0.2154 0.4264
0.7846 0.2110 0.0000
0.7890 0.7890 0.5736
0.5000 0.5000 0.0000
```

Summary:
The crystal system is tetragonal. For the density of states at the Fermi level, the calculation gives 3.1 states/eV per cell. As for the total magnetic moment: 0.00 Bohr magnetons per cell. As for the energy of formation: 0.03 eV/atom.

No. 4
A plane-wave DFT calculation with GGA-PBE was carried out for an optimized crystal structure of VNiMo.

POSCAR file:
```
VNiMo
1.0
4.3249 0.0000 0.0000
-2.1624 3.7455 0.0000
0.0000 0.0000 2.5061
V Ni Mo
1 1 1
direct
0.0000 0.0000 0.0000
0.3333 0.6667 0.0566
0.6667 0.3333 0.5449
```

Summary:
The crystal system is trigonal. For the density of states at the Fermi level, the calculation gives 2.6 states/eV per cell. As for the total magnetic moment: 0.00 Bohr magnetons per cell. As for the energy of formation: 0.08 eV/atom. The calculation puts the energy above the most stable polymorph in this dataset at 213.4 meV/atom.

Which formula does entry 2 have?
NpP2PbS8

What is the total magnetic moment in the second record?
3.00 Bohr magnetons per cell

Look up the total magnetic moment of the second one.
3.00 Bohr magnetons per cell

Which formula does entry 2 have?
NpP2PbS8